# 1
A plane-wave DFT calculation with GGA-PBE was carried out for crystalline NdDy2Al2 at its relaxed geometry.

Summary:
V (Å³ per atom): 26.05
Fermi-level density of states (states/eV per cell): 7.1
Formation energy (eV/atom): -0.292
Total magnetic moment (μB/atom): 0.0000
Polymorph energy (0 for the lowest one) (eV per atom): 0.0000

Cell lengths 3.6734, 5.2323, 13.6766 Å; angles 90.00, 97.73, 90.00 degrees
With the nearest neighbours (Å) after each atom.
Positions (direct):
Dy  0.7677  0.2500  0.5345  2 Al 3.10, 4 Dy 3.33
Dy  0.9529  0.2500  0.9056  8 Al 3.13-3.20
Dy  0.0471  0.7500  0.0944  8 Al 3.13-3.20
Dy  0.2323  0.7500  0.4655  2 Al 3.10, 4 Dy 3.33
Nd  0.1428  0.2500  0.2883  6 Al 3.20-3.22, 2 Dy 3.55
Nd  0.8572  0.7500  0.7117  6 Al 3.20-3.22, 2 Dy 3.55
Al  0.6402  0.7500  0.2817  4 Dy 3.10-3.13, 4 Nd 3.20
Al  0.4531  0.7500  0.9063  6 Dy 3.14-3.20, 2 Nd 3.21-3.22
Al  0.3598  0.2500  0.7183  4 Dy 3.10-3.13, 4 Nd 3.20
Al  0.5469  0.2500  0.0937  6 Dy 3.14-3.20, 2 Nd 3.21-3.22



# 2
A plane-wave DFT calculation with GGA-PBE was carried out for crystalline Nd2Dy8Al at its relaxed geometry.

Summary:
V (Å³ per atom): 31.82
Fermi-level density of states (states/eV per cell): 15.0
Formation energy (eV/atom): 0.023
Total magnetic moment (μB/atom): 0.0000
Polymorph energy (0 for the lowest one) (eV per atom): 0.0537

Cell lengths 5.4320, 7.4918, 9.7664 Å; angles 112.55, 106.15, 90.00 degrees
With the nearest neighbours (Å) after each atom.
Positions (direct):
Dy  0.6326  0.3957  0.2651  1 Al 3.01
Dy  0.0001  0.7560  0.0001  2 Al 3.27, 7 Dy 3.55-3.66
Dy  0.3673  0.1302  0.7347  1 Al 3.01
Dy  0.1801  0.1804  0.3603  8 Dy 3.45-3.68, 4 Nd 3.49-3.75
Dy  0.8199  0.8196  0.6397  8 Dy 3.45-3.68, 4 Nd 3.49-3.75
Dy  0.0000  0.2440  0.9999  2 Al 3.27, 7 Dy 3.55-3.66
Dy  0.6327  0.8698  0.2653  1 Al 3.01
Dy  0.3674  0.6043  0.7349  1 Al 3.01
Nd  0.1928  0.6929  0.3856  10 Dy 3.41-3.75
Nd  0.8072  0.3071  0.6144  10 Dy 3.41-3.75
Al  0.5000  0.0000  0.0000  8 Dy 3.01-3.27



# 3
A plane-wave DFT calculation with GGA-PBE was carried out for crystalline Nd6DyAl at its relaxed geometry.

Summary:
V (Å³ per atom): 32.70
Fermi-level density of states (states/eV per cell): 8.4
Formation energy (eV/atom): -0.054
Total magnetic moment (μB/atom): 0.0000
Polymorph energy (0 for the lowest one) (eV per atom): 0.0071

Cell lengths 6.8272, 9.1162, 6.6721 Å; angles 65.07, 84.94, 46.81 degrees
With the nearest neighbours (Å) after each atom.
Positions (direct):
Nd  0.8514  0.9109  0.6582  1 Al 3.16, 4 Nd 3.47-3.52
Nd  0.4208  0.3416  0.0893  1 Al 3.16, 4 Nd 3.47-3.53
Nd  0.8129  0.7507  0.2492  1 Al 3.16, 3 Nd 3.35-3.53
Nd  0.5792  0.6584  0.9107  1 Al 3.16, 4 Nd 3.47-3.53
Nd  0.1486  0.0891  0.3418  1 Al 3.16, 4 Nd 3.47-3.52
Nd  0.1871  0.2493  0.7508  1 Al 3.16, 3 Nd 3.35-3.53
Dy  0.5000  0.5000  0.5000  2 Al 3.38, 6 Nd 3.68-3.71
Al  0.0000  0.0000  0.0000  6 Nd 3.16, 2 Dy 3.38



# 4
A plane-wave DFT calculation with GGA-PBE was carried out for crystalline Nd4Dy15Al at its relaxed geometry.

Summary:
V (Å³ per atom): 31.27
Fermi-level density of states (states/eV per cell): 24.4
Formation energy (eV/atom): -0.008
Total magnetic moment (μB/atom): 0.0004

Cell lengths 4.9811, 4.9811, 25.2081 Å; angles 90.00, 90.00, 90.00 degrees
With the nearest neighbours (Å) after each atom.
Positions (direct):
Al  0.0000  0.0000  0.0000  12 Dy 3.41-3.52
Dy  0.0000  0.5000  0.7039  8 Dy 3.52-3.61, 4 Nd 3.56-3.58
Dy  0.0000  0.5000  0.5000  8 Dy 3.52-3.59, 4 Nd 3.58
Dy  0.5000  0.0000  0.7039  8 Dy 3.52-3.61, 4 Nd 3.56-3.58
Dy  0.5000  0.5000  0.8075  4 Nd 3.52, 8 Dy 3.55-3.61
Dy  0.0000  0.5000  0.2961  8 Dy 3.52-3.61, 4 Nd 3.56-3.58
Dy  0.5000  0.5000  0.6024  4 Nd 3.52, 8 Dy 3.57-3.59
Dy  0.5000  0.0000  0.9078  2 Al 3.41, 8 Dy 3.41-3.55, 2 Nd 3.60
Dy  0.0000  0.5000  0.0922  8 Dy 3.41-3.55, 2 Al 3.41, 2 Nd 3.60
Dy  0.5000  0.0000  0.0922  2 Al 3.41, 8 Dy 3.41-3.55, 2 Nd 3.60
Dy  0.5000  0.5000  0.0000  8 Dy 3.41, 4 Al 3.52
Dy  0.5000  0.0000  0.2961  8 Dy 3.52-3.61, 4 Nd 3.56-3.58
Dy  0.0000  0.5000  0.9078  8 Dy 3.41-3.55, 2 Al 3.41, 2 Nd 3.60
Dy  0.5000  0.5000  0.3976  4 Nd 3.52, 8 Dy 3.57-3.59
Dy  0.5000  0.5000  0.1925  4 Nd 3.52, 8 Dy 3.55-3.61
Dy  0.5000  0.0000  0.5000  8 Dy 3.52-3.59, 4 Nd 3.58
Nd  0.0000  0.0000  0.3981  12 Dy 3.52-3.58
Nd  0.0000  0.0000  0.1954  12 Dy 3.52-3.60
Nd  0.0000  0.0000  0.8046  12 Dy 3.52-3.60
Nd  0.0000  0.0000  0.6019  12 Dy 3.52-3.58



# 5
A plane-wave DFT calculation with GGA-PBE was carried out for crystalline Nd2DyAl at its relaxed geometry.

Summary:
V (Å³ per atom): 28.69
Fermi-level density of states (states/eV per cell): 6.1
Formation energy (eV/atom): -0.166
Total magnetic moment (μB/atom): 0.0001
Polymorph energy (0 for the lowest one) (eV per atom): 0.0121

Cell lengths 4.8755, 4.8517, 4.8517 Å; angles 90.00, 90.00, 90.00 degrees
With the nearest neighbours (Å) after each atom.
Positions (direct):
Nd  0.0000  0.0000  0.5000  4 Nd 3.43, 4 Al 3.44, 4 Dy 3.44
Nd  0.0000  0.5000  0.0000  4 Nd 3.43, 4 Al 3.44, 4 Dy 3.44
Dy  0.5000  0.0000  0.0000  4 Al 3.43, 8 Nd 3.44
Al  0.5000  0.5000  0.5000  4 Dy 3.43, 8 Nd 3.44



# 6
A plane-wave DFT calculation with GGA-PBE was carried out for crystalline Nd3DyAl at its relaxed geometry.

Summary:
V (Å³ per atom): 30.79
Fermi-level density of states (states/eV per cell): 12.6
Formation energy (eV/atom): -0.116
Total magnetic moment (μB/atom): 0.0001
Polymorph energy (0 for the lowest one) (eV per atom): 0.0000

Cell lengths 3.6812, 6.9197, 12.6044 Å; angles 84.36, 90.00, 74.58 degrees
With the nearest neighbours (Å) after each atom.
Positions (direct):
Nd  0.1428  0.7141  0.4462  4 Al 3.19-3.22, 3 Nd 3.33-3.55
Nd  0.6372  0.7243  0.9807  9 Nd 3.50-3.76, 3 Dy 3.73-3.78
Nd  0.0363  0.9264  0.1956  2 Al 3.28, 5 Nd 3.33-3.65, 1 Dy 3.54
Nd  0.3628  0.2757  0.0193  9 Nd 3.50-3.76, 3 Dy 3.73-3.78
Nd  0.9637  0.0736  0.8044  2 Al 3.28, 5 Nd 3.33-3.65, 1 Dy 3.54
Nd  0.8572  0.2859  0.5538  4 Al 3.19-3.22, 3 Nd 3.33-3.55
Dy  0.2167  0.5663  0.7455  2 Al 3.17, 1 Nd 3.54
Dy  0.7833  0.4337  0.2545  2 Al 3.17, 1 Nd 3.54
Al  0.5513  0.8973  0.6193  2 Dy 3.17, 1 Al 3.17, 6 Nd 3.19-3.28
Al  0.4487  0.1027  0.3807  2 Dy 3.17, 1 Al 3.17, 6 Nd 3.19-3.28



# 7
A plane-wave DFT calculation with GGA-PBE was carried out for crystalline Nd4DyAl4 at its relaxed geometry.

Summary:
V (Å³ per atom): 26.73
Fermi-level density of states (states/eV per cell): 16.0
Formation energy (eV/atom): -0.151
Total magnetic moment (μB/atom): 0.0000

Cell lengths 6.0649, 8.9074, 8.9074 Å; angles 90.00, 90.00, 90.00 degrees
With the nearest neighbours (Å) after each atom.
Positions (direct):
Nd  0.1239  0.9262  0.3279  1 Dy 3.09, 4 Al 3.16-3.39, 1 Nd 3.34
Nd  0.6239  0.1721  0.4262  1 Dy 3.09, 4 Al 3.16-3.39, 1 Nd 3.34
Nd  0.6239  0.8279  0.5738  1 Dy 3.09, 4 Al 3.16-3.39, 1 Nd 3.34
Nd  0.1239  0.0738  0.6721  1 Dy 3.09, 4 Al 3.16-3.39, 1 Nd 3.34
Nd  0.3761  0.4262  0.8279  1 Dy 3.09, 4 Al 3.16-3.39, 1 Nd 3.34
Nd  0.8761  0.6721  0.9262  1 Dy 3.09, 4 Al 3.16-3.39, 1 Nd 3.34
Nd  0.8761  0.3279  0.0738  1 Dy 3.09, 4 Al 3.16-3.39, 1 Nd 3.34
Nd  0.3761  0.5738  0.1721  1 Dy 3.09, 4 Al 3.16-3.39, 1 Nd 3.34
Al  0.8957  0.5904  0.3128  2 Al 2.91, 1 Dy 3.03, 2 Nd 3.16-3.18
Al  0.6043  0.0904  0.8128  2 Al 2.91, 1 Dy 3.03, 2 Nd 3.16-3.18
Al  0.1043  0.6872  0.5904  2 Al 2.91, 1 Dy 3.03, 2 Nd 3.16-3.18
Al  0.3957  0.1872  0.0904  2 Al 2.91, 1 Dy 3.03, 2 Nd 3.16-3.18
Al  0.8957  0.4096  0.6872  2 Al 2.91, 1 Dy 3.03, 2 Nd 3.16-3.18
Al  0.1043  0.3128  0.4096  2 Al 2.91, 1 Dy 3.03, 2 Nd 3.16-3.18
Al  0.3957  0.8128  0.9096  2 Al 2.91, 1 Dy 3.03, 2 Nd 3.16-3.18
Al  0.6043  0.9096  0.1872  2 Al 2.91, 1 Dy 3.03, 2 Nd 3.16-3.18
Dy  0.5000  0.5000  0.5000  4 Al 3.03, 4 Nd 3.09
Dy  0.0000  0.0000  0.0000  4 Al 3.03, 4 Nd 3.09



# 8
A plane-wave DFT calculation with GGA-PBE was carried out for crystalline NdDy7Al4 at its relaxed geometry.

Summary:
V (Å³ per atom): 27.44
Fermi-level density of states (states/eV per cell): 12.6
Formation energy (eV/atom): -0.058
Total magnetic moment (μB/atom): 0.0227

Cell lengths 5.5121, 9.0906, 7.4721 Å; angles 77.43, 68.36, 72.35 degrees
With the nearest neighbours (Å) after each atom.
Positions (direct):
Dy  0.7022  0.3556  0.2399  4 Al 2.93-3.16
Dy  0.7886  0.8766  0.5463  4 Dy 3.23-3.50, 4 Al 3.29-3.31
Dy  0.2978  0.6444  0.7601  4 Al 2.93-3.16
Dy  0.5000  0.0000  0.0000  2 Nd 2.76, 4 Al 2.90-2.97
Dy  0.0659  0.6094  0.2589  5 Al 3.07-3.38, 1 Dy 3.23
Dy  0.2114  0.1234  0.4537  4 Dy 3.23-3.50, 4 Al 3.29-3.31
Dy  0.9341  0.3906  0.7411  5 Al 3.07-3.38, 1 Dy 3.23
Nd  0.0000  0.0000  0.0000  2 Dy 2.76
Al  0.3230  0.3319  0.0222  1 Al 2.77, 3 Dy 2.90-3.08
Al  0.4459  0.7622  0.3460  1 Al 2.77, 2 Dy 2.93-2.97
Al  0.6770  0.6681  0.9778  1 Al 2.77, 3 Dy 2.90-3.08
Al  0.5541  0.2378  0.6540  1 Al 2.77, 2 Dy 2.93-2.97



# 9
A plane-wave DFT calculation with GGA-PBE was carried out for crystalline Nd4DyAl2 at its relaxed geometry.

Summary:
V (Å³ per atom): 29.21
Fermi-level density of states (states/eV per cell): 4.5
Formation energy (eV/atom): -0.170
Total magnetic moment (μB/atom): 0.0000

Cell lengths 5.3770, 5.3770, 8.7368 Å; angles 72.08, 72.08, 60.00 degrees
With the nearest neighbours (Å) after each atom.
Positions (direct):
Nd  0.8489  0.8489  0.4532  1 Al 3.14, 3 Nd 3.20
Nd  0.4097  0.4097  0.7708  4 Al 3.15-3.20
Nd  0.5903  0.5903  0.2292  4 Al 3.15-3.20
Nd  0.1511  0.1511  0.5468  1 Al 3.14, 3 Nd 3.20
Al  0.7209  0.7209  0.8373  5 Nd 3.14-3.20, 3 Dy 3.38
Al  0.2791  0.2791  0.1627  5 Nd 3.14-3.20, 3 Dy 3.38
Dy  0.0000  0.0000  0.0000  6 Al 3.38, 8 Nd 3.63-3.70



# 10
A plane-wave DFT calculation with GGA-PBE was carried out for crystalline Nd5DyAl6 at its relaxed geometry.

Summary:
V (Å³ per atom): 25.45
Fermi-level density of states (states/eV per cell): 4.0
Formation energy (eV/atom): -0.359
Total magnetic moment (μB/atom): 0.0000

Cell lengths 5.2451, 7.4044, 9.0815 Å; angles 65.94, 73.15, 90.00 degrees
With the nearest neighbours (Å) after each atom.
Positions (direct):
Nd  0.3281  0.8281  0.3438  8 Al 3.18-3.22
Nd  0.6638  0.6637  0.6725  8 Al 3.24-3.26
Nd  0.3362  0.3363  0.3275  8 Al 3.24-3.26
Nd  0.0000  0.5000  0.0000  8 Al 3.20-3.28
Nd  0.6719  0.1719  0.6562  8 Al 3.18-3.22
Al  0.8365  0.0787  0.3269  1 Dy 3.13, 7 Nd 3.18-3.26
Al  0.8366  0.5944  0.3269  1 Dy 3.13, 7 Nd 3.18-3.26
Al  0.5000  0.2347  0.0000  2 Dy 3.15, 6 Nd 3.21-3.28, 1 Al 3.48
Al  0.1635  0.9213  0.6731  1 Dy 3.13, 7 Nd 3.18-3.26
Al  0.5000  0.7653  0.0000  2 Dy 3.15, 6 Nd 3.21-3.28, 1 Al 3.48
Al  0.1634  0.4056  0.6731  1 Dy 3.13, 7 Nd 3.18-3.26
Dy  0.0000  0.0000  0.0000  8 Al 3.13-3.15



# 11
A plane-wave DFT calculation with GGA-PBE was carried out for crystalline Nd2Dy8Al at its relaxed geometry.

Summary:
V (Å³ per atom): 31.09
Fermi-level density of states (states/eV per cell): 15.1
Formation energy (eV/atom): -0.031
Total magnetic moment (μB/atom): 0.0000
Polymorph energy (0 for the lowest one) (eV per atom): 0.0000

Cell lengths 5.4920, 6.4712, 10.0316 Å; angles 93.93, 105.89, 90.00 degrees
With the nearest neighbours (Å) after each atom.
Positions (direct):
Al  0.5000  0.0000  0.0000  8 Dy 3.05-3.27
Dy  0.6563  0.1223  0.3125  1 Al 3.06, 2 Dy 3.39
Dy  0.1527  0.8147  0.3055  7 Dy 3.35-3.74, 4 Nd 3.58-3.67
Dy  0.3437  0.8777  0.6875  1 Al 3.06, 2 Dy 3.39
Dy  0.4230  0.3952  0.8460  1 Al 3.05, 3 Dy 3.18-3.35
Dy  0.8473  0.1853  0.6945  7 Dy 3.35-3.74, 4 Nd 3.58-3.67
Dy  0.5770  0.6048  0.1540  1 Al 3.05, 3 Dy 3.18-3.35
Dy  0.0415  0.2544  0.0831  2 Al 3.27, 4 Dy 3.56-3.66
Dy  0.9585  0.7456  0.9169  2 Al 3.27, 4 Dy 3.56-3.66
Nd  0.2424  0.3326  0.4848  8 Dy 3.44-3.67, 2 Nd 3.50
Nd  0.7576  0.6674  0.5152  8 Dy 3.44-3.67, 2 Nd 3.50



# 12
A plane-wave DFT calculation with GGA-PBE was carried out for crystalline NdDy5Al4 at its relaxed geometry.

Summary:
V (Å³ per atom): 25.40
Fermi-level density of states (states/eV per cell): 7.9
Formation energy (eV/atom): -0.311
Total magnetic moment (μB/atom): 0.0004

Cell lengths 3.5804, 3.5804, 19.8170 Å; angles 90.00, 90.00, 90.00 degrees
With the nearest neighbours (Å) after each atom.
Positions (direct):
Dy  0.5000  0.5000  0.1331  4 Al 3.11
Dy  0.5000  0.5000  0.6832  8 Al 3.11-3.13
Dy  0.5000  0.5000  0.8669  4 Al 3.11
Dy  0.5000  0.5000  0.3168  8 Al 3.11-3.13
Dy  0.5000  0.5000  0.5000  8 Al 3.12
Al  0.0000  0.0000  0.2242  8 Dy 3.11-3.13
Al  0.0000  0.0000  0.5918  8 Dy 3.11-3.12
Al  0.0000  0.0000  0.7758  8 Dy 3.11-3.13
Al  0.0000  0.0000  0.4082  8 Dy 3.11-3.12
Nd  0.0000  0.0000  0.0000  4 Nd 3.58, 8 Dy 3.66